Entry 1:
Entry from the Alexandria database: a relaxed Rb2HPt crystal (PBE).

Lattice parameters (Å, degrees): 11.916 11.916 8.620 46.27 46.27 90.00
Fractional positions:
Pt  0.000  0.000  0.000
Pt  0.750  0.250  0.500
Rb  0.335  0.625  0.250
Rb  0.875  0.665  0.750
Rb  0.375  0.585  0.750
Rb  0.415  0.125  0.250
H  0.250  0.750  0.500
H  0.500  0.500  0.000

Computed properties:
SG: I-42d, No. 122
Energy above the lowest structure with this stoichiometry, eV per atom: 0.000

Entry 2:
Entry from the Alexandria database: a relaxed RbH4Pt crystal (PBE).

Lattice parameters (Å, degrees): 4.473 6.070 7.616 113.48 109.09 90.00
Fractional positions:
H  0.609  0.456  0.240
H  0.391  0.217  0.760
H  0.218  0.672  0.343
H  0.782  0.328  0.657
H  0.000  0.308  0.000
H  0.609  0.783  0.240
H  0.391  0.544  0.760
H  0.000  0.692  0.000
Pt  0.678  0.433  0.866
Pt  0.322  0.567  0.134
Rb  0.105  0.166  0.333
Rb  0.895  0.834  0.667

Computed properties:
Calculated total energy, eV/atom: -3.6012
SG: C2/m, No. 12

Entry 3:
Entry from the Alexandria database: a relaxed RbH2Pt crystal (PBE).

Lattice parameters (Å, degrees): 3.441 3.441 5.941 73.17 73.17 60.00
Fractional positions:
H  0.310  0.310  0.069
H  0.690  0.690  0.931
Rb  0.500  0.500  0.500
Pt  0.000  0.000  0.000

Computed properties:
SG: R-3m, No. 166
Energy above the lowest structure with this stoichiometry, eV per atom: 0.312

Entry 4:
Entry from the Alexandria database: a relaxed RbH2Pt crystal (PBE).

Lattice parameters (Å, degrees): 5.091 5.091 6.210 65.80 65.80 90.00
Fractional positions:
Rb  0.500  0.500  0.000
Rb  0.250  0.750  0.500
Pt  0.000  0.000  0.000
Pt  0.750  0.250  0.500
H  0.875  0.125  0.750
H  0.375  0.125  0.750
H  0.875  0.125  0.250
H  0.875  0.625  0.250

Computed properties:
SG: I4_1/amd, No. 141
Energy above the lowest structure with this stoichiometry, eV per atom: 0.000

Entry 5:
Entry from the Alexandria database: a relaxed Rb3H2Pt crystal (PBE).

Lattice parameters (Å, degrees): 5.829 8.501 10.611 113.61 105.94 90.00
Fractional positions:
Pt  0.000  0.500  0.000
Pt  0.000  0.000  0.000
Rb  0.856  0.606  0.712
Rb  0.856  0.106  0.712
Rb  0.144  0.394  0.288
Rb  0.500  0.250  0.000
Rb  0.500  0.750  0.000
Rb  0.144  0.894  0.288
H  0.723  0.441  0.882
H  0.841  0.059  0.118
H  0.277  0.559  0.118
H  0.159  0.941  0.882

Computed properties:
Calculated total energy, eV/atom: -2.8307
SG: Ibam, No. 72

Entry 6:
Entry from the Alexandria database: a relaxed Rb3H3Pt crystal (PBE).

Lattice parameters (Å, degrees): 5.657 7.811 7.796 102.66 90.00 90.00
Fractional positions:
H  0.250  0.850  0.151
H  0.750  0.158  0.505
H  0.250  0.507  0.148
H  0.250  0.842  0.495
H  0.750  0.493  0.852
H  0.750  0.150  0.849
Rb  0.250  0.193  0.423
Rb  0.750  0.856  0.121
Rb  0.750  0.807  0.577
Rb  0.250  0.144  0.879
Rb  0.750  0.417  0.208
Rb  0.250  0.583  0.792
Pt  0.250  0.701  0.295
Pt  0.750  0.299  0.705

Computed properties:
SG: P2_1/m, No. 11
Energy above the lowest structure with this stoichiometry, eV per atom: 0.000